[1]
Crystalline K2Na3Tl12Pb at its relaxed geometry, computed with GGA-PBE.

## Properties
energy of formation from the pure elements = 0.4 eV per formula unit

Lattice parameters (Å, degrees): 8.0724 8.0724 34.5863 90.00 90.00 120.00
Space group R-3m (No. 166, hexagonal axes)
Asymmetric unit:
K: 0.0000 0.0000 0.1471 [6 per cell]
Na: 0.0000 0.5000 0.0000 [9 per cell]
Tl: 0.0198 0.5099 0.0987 [18 per cell]
Tl: 0.0756 0.5378 0.6194 [18 per cell]
Pb: 0.0000 0.0000 0.5000 [3 per cell]

---

[2]
Crystalline CdAu2Se at its relaxed geometry, computed with GGA-PBE.

## Properties
E_form (uncorrected) = 0.00 eV/atom

Lattice parameters (Å, degrees): 3.7600 3.7600 5.6807 90.00 90.00 90.00
Space group P4/mmm (No. 123)
Asymmetric unit:
Cd: 0.0000 0.0000 0.0000 [1 per cell]
Au: 0.5000 0.5000 0.2460 [2 per cell]
Se: 0.0000 0.0000 0.5000 [1 per cell]

---

[3]
Crystalline Cs2SmGeS4 at its relaxed geometry, computed with GGA-PBE.

## Properties
E_form (uncorrected) = -1.08 eV/atom

Lattice parameters (Å, degrees): 6.6791 14.7375 25.9152 90.00 90.00 90.00
Space group Fddd (No. 70, origin choice 2)
Asymmetric unit:
Cs: 0.1250 0.1250 0.3061 [16 per cell]
Sm: 0.1250 0.1250 0.1250 [8 per cell]
Ge: 0.1250 0.1250 0.6250 [8 per cell]
S: 0.0969 0.2812 0.8262 [32 per cell]

---

The calculation returns the following DFT total energy values, one per record and in order: -2.105; -2.736; -4.524 eV/atom.